(1)
DFT (GGA-PBE) results for a geometry-optimized RbNb3W structure.

a = 5.0647 Å, b = 5.0647 Å, c = 5.0647 Å
α = 90.00°, β = 90.00°, γ = 90.00°
Closest atoms and distances in Å follow each position.
Fractional positions:
Nb  0.0000  0.5000  0.0000  2 W 2.53
Nb  0.0000  0.0000  0.5000  2 W 2.53
Nb  0.5000  0.0000  0.0000  2 W 2.53
Rb  0.5000  0.5000  0.5000  12 Nb 3.58
W  0.0000  0.0000  0.0000  6 Nb 2.53

Values from the calculation:
V = 129.9 Å³/cell
Raw total energy = -7.28 eV/atom
Energy above the lowest structure with this stoichiometry = 0.000 eV per atom
ΔE_f = 7.7 eV per formula unit

=====

(2)
DFT (GGA-PBE) results for a geometry-optimized Cs2YGaI6 structure.

a = 8.8319 Å, b = 8.8319 Å, c = 8.8334 Å
α = 60.01°, β = 60.01°, γ = 90.00°
Closest atoms and distances in Å follow each position.
Fractional positions:
Cs  0.7500  0.2500  0.5000  12 I 4.42
Cs  0.2500  0.7500  0.5000  12 I 4.42
I  0.2427  0.2427  0.5146  1 Y 3.03, 1 Ga 3.21
I  0.7573  0.7573  0.4854  1 Y 3.03, 1 Ga 3.21
I  0.2428  0.2428  0.0000  1 Y 3.03, 1 Ga 3.21
I  0.7572  0.7572  0.0000  1 Y 3.03, 1 Ga 3.21
I  0.7572  0.2428  0.0000  1 Y 3.03, 1 Ga 3.21
I  0.2428  0.7572  0.0000  1 Y 3.03, 1 Ga 3.21
Y  0.0000  0.0000  0.0000  6 I 3.03
Ga  0.5000  0.5000  0.0000  6 I 3.21

Values from the calculation:
V = 487.3 Å³/cell
Raw total energy = -3.32 eV/atom
Energy relative to the elements, uncorrected = -1.27 eV per atom

=====

(3)
DFT (GGA-PBE) results for a geometry-optimized Ce2ErIn4 structure.

a = 5.1384 Å, b = 5.1384 Å, c = 8.5725 Å
α = 107.44°, β = 107.44°, γ = 90.00°
Closest atoms and distances in Å follow each position.
Fractional positions:
In  0.3913  0.8913  0.7825  2 Er 3.07, 4 Ce 3.37-3.38, 1 In 3.38
In  0.8913  0.3913  0.7825  2 Er 3.07, 4 Ce 3.37-3.38, 1 In 3.38
In  0.6087  0.1087  0.2175  2 Er 3.07, 4 Ce 3.37-3.38, 1 In 3.38
In  0.1087  0.6087  0.2175  2 Er 3.07, 4 Ce 3.37-3.38, 1 In 3.38
Ce  0.7503  0.7503  0.5007  8 In 3.37-3.38, 4 Ce 3.63
Ce  0.2497  0.2497  0.4993  8 In 3.37-3.38, 4 Ce 3.63
Er  0.0000  0.0000  0.0000  8 In 3.07

Values from the calculation:
V = 205.0 Å³/cell
Raw total energy = -4.15 eV/atom
Energy above the lowest structure with this stoichiometry = 0.000 eV per atom
ΔE_f = -1.7 eV per formula unit

=====

(4)
DFT (GGA-PBE) results for a geometry-optimized GePt2N2 structure.

a = 7.6847 Å, b = 7.6847 Å, c = 3.1808 Å
α = 90.00°, β = 90.00°, γ = 90.00°
Closest atoms and distances in Å follow each position.
Fractional positions:
Ge  0.0000  0.0000  0.0000  4 Pt 2.74
Ge  0.5000  0.5000  0.0000  4 Pt 2.74
Pt  0.2191  0.7191  0.0000  2 N 1.86
Pt  0.7191  0.7809  0.0000  2 N 1.86
Pt  0.7809  0.2809  0.0000  2 N 1.86
Pt  0.2809  0.2191  0.0000  2 N 1.86
N  0.1297  0.6297  0.5000  2 Pt 1.86
N  0.6297  0.8703  0.5000  2 Pt 1.86
N  0.8703  0.3703  0.5000  2 Pt 1.86
N  0.3703  0.1297  0.5000  2 Pt 1.86

Values from the calculation:
V = 187.8 Å³/cell
Raw total energy = -5.51 eV/atom
Energy above the lowest structure with this stoichiometry = 0.363 eV per atom
Energy relative to the elements, uncorrected = 1.16 eV per atom

=====

(5)
DFT (GGA-PBE) results for a geometry-optimized Ca2Zn3Ge4Ir structure.

a = 4.2670 Å, b = 4.2670 Å, c = 10.6194 Å
α = 90.00°, β = 90.00°, γ = 90.00°
Closest atoms and distances in Å follow each position.
Fractional positions:
Ca  0.5000  0.0000  0.2575  8 Ge 3.25-3.47, 6 Zn 3.27-3.34, 2 Ir 3.34
Ca  0.0000  0.5000  0.7425  8 Ge 3.25-3.47, 6 Zn 3.27-3.34, 2 Ir 3.34
Zn  0.0000  0.0000  0.5000  4 Ge 2.54
Zn  0.5000  0.0000  0.8617  5 Ge 2.46-2.59
Zn  0.0000  0.5000  0.1383  5 Ge 2.46-2.59
Ge  0.5000  0.5000  0.0000  4 Zn 2.59
Ge  0.0000  0.0000  0.0000  4 Zn 2.59
Ge  0.5000  0.0000  0.6297  3 Zn 2.46-2.54, 2 Ir 2.54
Ge  0.0000  0.5000  0.3703  3 Zn 2.46-2.54, 2 Ir 2.54
Ir  0.5000  0.5000  0.5000  4 Ge 2.54

Values from the calculation:
V = 193.4 Å³/cell
Raw total energy = -3.87 eV/atom
ΔE_f = -3.5 eV per formula unit

=====

(6)
DFT (GGA-PBE) results for a geometry-optimized Pm3ZnRh3 structure.

a = 4.1729 Å, b = 5.6190 Å, c = 13.9677 Å
α = 90.00°, β = 90.00°, γ = 111.80°
Closest atoms and distances in Å follow each position.
Fractional positions:
Pm  0.1990  0.3981  0.8961  6 Rh 2.94-3.06, 2 Zn 3.28
Pm  0.8010  0.6019  0.1039  6 Rh 2.94-3.06, 2 Zn 3.28
Pm  0.1990  0.3981  0.6039  6 Rh 2.94-3.06, 2 Zn 3.28
Pm  0.8010  0.6019  0.3961  6 Rh 2.94-3.06, 2 Zn 3.28
Pm  0.4769  0.9538  0.7500  7 Rh 2.89-3.14
Pm  0.5231  0.0462  0.2500  7 Rh 2.89-3.14
Zn  0.5000  0.0000  0.0000  4 Rh 2.59
Zn  0.5000  0.0000  0.5000  4 Rh 2.59
Rh  0.9126  0.8251  0.9109  2 Zn 2.59, 1 Rh 2.79
Rh  0.0874  0.1749  0.0891  2 Zn 2.59, 1 Rh 2.79
Rh  0.9126  0.8251  0.5891  2 Zn 2.59, 1 Rh 2.79
Rh  0.0874  0.1749  0.4109  2 Zn 2.59, 1 Rh 2.79
Rh  0.7542  0.5083  0.7500  2 Rh 2.79, 7 Pm 2.89-3.12
Rh  0.2458  0.4917  0.2500  2 Rh 2.79, 7 Pm 2.89-3.12

Values from the calculation:
V = 304.1 Å³/cell
Raw total energy = -6.07 eV/atom
Energy above the lowest structure with this stoichiometry = 0.000 eV per atom
ΔE_f = -4.9 eV per formula unit

=====

(7)
DFT (GGA-PBE) results for a geometry-optimized TaTeAs structure.

a = 4.6703 Å, b = 4.6703 Å, c = 4.6703 Å
α = 60.00°, β = 60.00°, γ = 60.00°
Closest atoms and distances in Å follow each position.
Fractional positions:
As  0.5000  0.5000  0.5000  4 Ta 2.86
Te  0.0000  0.0000  0.0000  4 Ta 2.86
Ta  0.2500  0.2500  0.2500  4 As 2.86, 4 Te 2.86

Values from the calculation:
V = 72.0 Å³/cell
Raw total energy = -6.32 eV/atom
Energy relative to the elements, uncorrected = 0.22 eV per atom

=====

(8)
DFT (GGA-PBE) results for a geometry-optimized K3Ce2SnTe6 structure.

a = 8.0532 Å, b = 8.0532 Å, c = 8.5589 Å
α = 99.02°, β = 99.02°, γ = 119.99°
Closest atoms and distances in Å follow each position.
Fractional positions:
K  0.1635  0.8365  0.5000  6 Te 3.56-3.60
K  0.8365  0.1635  0.5000  6 Te 3.56-3.60
K  0.5000  0.5000  0.5000  6 Te 3.53-3.59
Ce  0.3330  0.6670  0.0000  6 Te 3.15-3.16
Ce  0.6670  0.3330  0.0000  6 Te 3.15-3.16
Sn  0.0000  0.0000  0.0000  6 Te 3.22-3.23
Te  0.9299  0.5897  0.7901  2 Ce 3.15-3.16, 1 Sn 3.23
Te  0.7294  0.7294  0.2091  2 Ce 3.16, 1 Sn 3.22, 1 K 3.53
Te  0.0701  0.4103  0.2099  2 Ce 3.15-3.16, 1 Sn 3.23
Te  0.5897  0.9299  0.7901  2 Ce 3.15-3.16, 1 Sn 3.23
Te  0.2706  0.2706  0.7909  2 Ce 3.16, 1 Sn 3.22, 1 K 3.53
Te  0.4103  0.0701  0.2099  2 Ce 3.15-3.16, 1 Sn 3.23

Values from the calculation:
V = 456.5 Å³/cell
Raw total energy = -4.30 eV/atom
Energy relative to the elements, uncorrected = -1.13 eV per atom

=====

(9)
DFT (GGA-PBE) results for a geometry-optimized Rb2TiSnS5 structure.

a = 3.7658 Å, b = 9.9315 Å, c = 14.2141 Å
α = 90.00°, β = 90.00°, γ = 100.93°
Closest atoms and distances in Å follow each position.
Fractional positions:
Rb  0.8644  0.7288  0.8044  6 S 3.33-3.40
Rb  0.1181  0.2362  0.6771  6 S 3.34-3.74
Rb  0.1356  0.2712  0.3044  6 S 3.33-3.40
Rb  0.8819  0.7638  0.1771  6 S 3.34-3.74
Ti  0.7780  0.5560  0.5283  3 S 2.16-2.42
Ti  0.2220  0.4440  0.0283  3 S 2.16-2.42
Sn  0.5632  0.1263  0.9363  4 S 2.32-2.47
Sn  0.4368  0.8737  0.4363  4 S 2.32-2.47
S  0.3303  0.6605  0.9953  1 Ti 2.16
S  0.6876  0.3751  0.9076  1 Sn 2.46, 2 Ti 2.63
S  0.5049  0.0097  0.7940  1 Sn 2.32
S  0.2888  0.5776  0.6342  2 Ti 2.42
S  0.9513  0.9025  0.5468  2 Sn 2.47
S  0.6697  0.3395  0.4953  1 Ti 2.16
S  0.3124  0.6249  0.4076  1 Sn 2.46, 2 Ti 2.63
S  0.4951  0.9903  0.2940  1 Sn 2.32
S  0.7112  0.4224  0.1342  2 Ti 2.42
S  0.0487  0.0975  0.0468  2 Sn 2.47

Values from the calculation:
V = 522.0 Å³/cell
Raw total energy = -4.83 eV/atom
Energy relative to the elements, uncorrected = -1.00 eV per atom

=====

(10)
DFT (GGA-PBE) results for a geometry-optimized Nd3DyTe4 structure.

a = 4.3507 Å, b = 4.3507 Å, c = 30.7240 Å
α = 90.00°, β = 90.00°, γ = 120.00°
Closest atoms and distances in Å follow each position.
Fractional positions:
Te  0.6667  0.3333  0.9369  6 Nd 3.16-3.17
Te  0.3333  0.6667  0.0631  6 Nd 3.16-3.17
Te  0.3333  0.6667  0.4369  6 Nd 3.16-3.17
Te  0.6667  0.3333  0.5631  6 Nd 3.16-3.17
Te  0.0000  0.0000  0.8104  3 Dy 3.12, 3 Nd 3.19
Te  0.0000  0.0000  0.1896  3 Dy 3.12, 3 Nd 3.19
Te  0.0000  0.0000  0.3104  3 Dy 3.12, 3 Nd 3.19
Te  0.0000  0.0000  0.6896  3 Dy 3.12, 3 Nd 3.19
Nd  0.0000  0.0000  0.0000  6 Te 3.17
Nd  0.0000  0.0000  0.5000  6 Te 3.17
Nd  0.3333  0.6667  0.8746  6 Te 3.16-3.19
Nd  0.6667  0.3333  0.1254  6 Te 3.16-3.19
Nd  0.6667  0.3333  0.3746  6 Te 3.16-3.19
Nd  0.3333  0.6667  0.6254  6 Te 3.16-3.19
Dy  0.6667  0.3333  0.7500  6 Te 3.12
Dy  0.3333  0.6667  0.2500  6 Te 3.12

Values from the calculation:
V = 503.7 Å³/cell
Raw total energy = -5.30 eV/atom
Energy above the lowest structure with this stoichiometry = 0.019 eV per atom
Energy relative to the elements, uncorrected = -1.37 eV per atom

=====

(11)
DFT (GGA-PBE) results for a geometry-optimized SrCa2DyAg4 structure.

a = 5.2667 Å, b = 5.2667 Å, c = 9.2377 Å
α = 73.44°, β = 73.44°, γ = 60.00°
Closest atoms and distances in Å follow each position.
Fractional positions:
Sr  0.0000  0.0000  0.0000  8 Ag 3.30-3.42
Ca  0.7516  0.7516  0.7453  7 Ag 3.08-3.27
Ca  0.2484  0.2484  0.2547  7 Ag 3.08-3.27
Dy  0.5000  0.5000  0.5000  8 Ag 3.07-3.18
Ag  0.3825  0.3825  0.8525  1 Dy 3.07, 3 Ca 3.18, 3 Sr 3.30
Ag  0.8692  0.8692  0.3923  4 Ca 3.08-3.27, 3 Dy 3.18, 1 Sr 3.42
Ag  0.1308  0.1308  0.6077  4 Ca 3.08-3.27, 3 Dy 3.18, 1 Sr 3.42
Ag  0.6175  0.6175  0.1475  1 Dy 3.07, 3 Ca 3.18, 3 Sr 3.30

Values from the calculation:
V = 209.5 Å³/cell
Raw total energy = -3.00 eV/atom
ΔE_f = -2.3 eV per formula unit